No. 1
Crystalline Ta2ZnSi at its relaxed geometry, computed with PBE.

a b c (Å): 5.122 5.122 5.122
angles (deg): 135.98 135.92 64.06
Element x y z (fractional)
Ta1 0.750 0.250 0.500
Ta2 0.000 0.000 0.000
Si1 0.250 0.750 0.500
Zn1 0.500 0.500 0.000

Computed properties:
- raw formation energy (eV/atom) = -0.073
- symmetry = I-4m2, No. 119
- mass density (Mg/m³) = 11.8
- raw total energy (eV per atom) = -7.674

---

No. 2
Crystalline Ta2ZnSi at its relaxed geometry, computed with PBE.

a b c (Å): 9.210 9.210 9.210
angles (deg): 18.07 18.07 18.07
Element x y z (fractional)
Ta1 0.003 0.003 0.003
Ta2 0.497 0.497 0.497
Si1 0.750 0.750 0.750
Zn1 0.250 0.250 0.250

Computed properties:
- raw formation energy (eV/atom) = 0.029
- symmetry = R-3m, No. 166
- mass density (Mg/m³) = 11.5
- raw total energy (eV per atom) = -7.572

---

No. 3
Crystalline TaZnSi2 at its relaxed geometry, computed with PBE.

a b c (Å): 6.934 6.934 5.602
angles (deg): 51.76 51.76 90.00
Element x y z (fractional)
Zn1 0.250 0.750 0.500
Zn2 0.500 0.500 0.000
Si1 0.875 0.856 0.750
Si2 0.144 0.625 0.250
Si3 0.375 0.394 0.750
Si4 0.606 0.125 0.250
Ta1 0.000 0.000 0.000
Ta2 0.750 0.250 0.500

Computed properties:
- raw formation energy (eV/atom) = 0.389
- symmetry = I-42d, No. 122
- mass density (Mg/m³) = 7.7
- raw total energy (eV per atom) = -5.604

---

No. 4
Crystalline Ta2ZnSi at its relaxed geometry, computed with PBE.

a b c (Å): 3.318 3.318 5.822
angles (deg): 90.00 90.00 90.00
Element x y z (fractional)
Ta1 0.000 0.000 0.983
Ta2 0.000 0.000 0.517
Zn1 0.500 0.500 0.250
Si1 0.500 0.500 0.750

Computed properties:
- raw formation energy (eV/atom) = -0.028
- symmetry = P4/mmm, No. 123
- mass density (Mg/m³) = 11.8
- raw total energy (eV per atom) = -7.629

---

No. 5
Crystalline TaZnSi3 at its relaxed geometry, computed with PBE.

a b c (Å): 4.516 4.516 4.516
angles (deg): 90.00 90.00 90.00
Element x y z (fractional)
Ta1 0.500 0.500 0.500
Zn1 0.000 0.000 0.000
Si1 0.000 0.500 0.000
Si2 0.000 0.000 0.500
Si3 0.500 0.000 0.000

Computed properties:
- raw formation energy (eV/atom) = 1.291
- polymorph energy (0 for the lowest one) (meV/atom) = 558.7
- symmetry = Pm-3m, No. 221
- mass density (Mg/m³) = 6.0
- raw total energy (eV per atom) = -4.588

---

No. 6
Crystalline TaZnSi2 at its relaxed geometry, computed with PBE.

a b c (Å): 8.366 8.366 8.366
angles (deg): 20.54 20.54 20.54
Element x y z (fractional)
Si1 0.001 0.001 0.001
Si2 0.499 0.499 0.499
Zn1 0.750 0.750 0.750
Ta1 0.250 0.250 0.250

Computed properties:
- raw formation energy (eV/atom) = 0.055
- symmetry = R-3m, No. 166
- mass density (Mg/m³) = 8.0
- raw total energy (eV per atom) = -5.939

---

No. 7
Crystalline TaZnSi at its relaxed geometry, computed with PBE.

a b c (Å): 5.102 5.102 5.102
angles (deg): 147.21 139.81 52.81
Element x y z (fractional)
Zn1 0.655 0.655 0.000
Ta1 0.338 0.338 0.000
Si1 0.007 0.007 0.000

Computed properties:
- raw formation energy (eV/atom) = 0.037
- symmetry = Imm2, No. 44
- mass density (Mg/m³) = 9.9
- raw total energy (eV per atom) = -6.147

---

No. 8
Crystalline Ta2ZnSi at its relaxed geometry, computed with PBE.

a b c (Å): 2.834 2.834 8.175
angles (deg): 90.00 90.00 102.76
Element x y z (fractional)
Ta1 0.000 0.000 0.988
Ta2 0.000 0.000 0.512
Si1 0.500 0.500 0.750
Zn1 0.500 0.500 0.250

Computed properties:
- raw formation energy (eV/atom) = -0.102
- symmetry = Cmmm, No. 65
- mass density (Mg/m³) = 11.8
- raw total energy (eV per atom) = -7.702

---

- Which of these has the lowest raw formation energy?
  number 8